# NaGaMoO5, relaxed, DFT PBE with a Hubbard U
data_NaGaMoO5
_cell_length_a 5.9085
_cell_length_b 5.9085
_cell_length_c 6.9498
_cell_angle_alpha 102.02
_cell_angle_beta 102.02
_cell_angle_gamma 106.93
_space_group_name_H-M_alt 'P 1'
_space_group_IT_number 1
loop_
_space_group_symop_operation_xyz
'x,y,z'
loop_
_atom_site_label
_atom_site_type_symbol
_atom_site_fract_x
_atom_site_fract_y
_atom_site_fract_z
Ga1 Ga 0.0000 0.0000 0.5000
Ga2 Ga 0.0000 0.0000 0.0000
O1 O 0.3185 0.8979 0.6091
O2 O 0.6815 0.1021 0.3909
O3 O 0.1021 0.6815 0.8909
O4 O 0.2457 0.3764 0.5733
O5 O 0.9372 0.0628 0.7500
O6 O 0.3764 0.2457 0.0733
O7 O 0.7543 0.6236 0.4267
O8 O 0.6236 0.7543 0.9267
O9 O 0.0628 0.9372 0.2500
O10 O 0.8979 0.3185 0.1091
Mo1 Mo 0.3245 0.6755 0.7500
Mo2 Mo 0.6755 0.3245 0.2500
Na1 Na 0.3058 0.6942 0.2500
Na2 Na 0.6942 0.3058 0.7500
# - Raw total energy: -6.216 eV per atom
# - V: 217.4 Å³/cell
# - Density of states at the Fermi level: 0.0 states/eV/f.u.